1.
CdCoRh2, single point on PBEsol structure, DFT SCAN; crystal system = tetragonal; energy of formation = 0.121 eV per atom; SG = I-4m2 (119)
1.0
-1.6489 -2.4280 2.4087
1.3892 -2.9190 -1.9914
3.3092 2.6903 1.9846
Cd Rh Co
1 2 1
direct
0.5000 0.5000 0.0000
0.0000 0.0000 0.0000
0.7500 0.2500 0.5000
0.2500 0.7500 0.5000

2.
ZrTe2Cl, single point on PBEsol structure, DFT SCAN; formation energy (no corrections) = -2.31 eV/f.u.; crystal system = monoclinic; SG = C2/m (12)
1.0
3.6309 0.0000 0.0000
-1.8155 5.0637 0.0166
0.0000 -1.2653 5.2330
Zr Te Cl
1 2 1
direct
0.5000 0.0000 0.0000
0.2247 0.4494 0.2147
0.7753 0.5506 0.7853
0.0000 0.0000 0.5000